# 1
First-principles (PBE) data for a geometry-optimized Tb3YFe structure, as listed in the Alexandria database.

```
data_Tb3YFe
_chemical_formula_sum 'Tb3 Y1 Fe1'
_space_group_name_H-M_alt 'P m -3 m'
_space_group_IT_number 221
_space_group_name_Hall '-P 4 2 3'
_cell_length_a 5.288
_cell_length_b 5.288
_cell_length_c 5.288
_cell_angle_alpha 90.00
_cell_angle_beta 90.00
_cell_angle_gamma 90.00
loop_
_atom_site_label
_atom_site_type_symbol
_atom_site_fract_x
_atom_site_fract_y
_atom_site_fract_z
_atom_site_occupancy
Tb1 Tb 0.000 0.000 0.500 1
Y1 Y 0.500 0.500 0.500 1
Fe1 Fe 0.000 0.000 0.000 1
```

## Properties
* energy relative to the elements: 0.13 eV/atom


# 2
First-principles (PBE) data for a geometry-optimized PmHfS3 structure, as listed in the Alexandria database.

```
data_PmHfS3
_chemical_formula_sum 'Pm4 Hf4 S12'
_space_group_name_H-M_alt 'C 1 2/m 1'
_space_group_IT_number 12
_space_group_name_Hall '-C 2y'
_cell_length_a 17.627
_cell_length_b 3.655
_cell_length_c 7.837
_cell_angle_alpha 90.00
_cell_angle_beta 92.04
_cell_angle_gamma 90.00
loop_
_atom_site_label
_atom_site_type_symbol
_atom_site_fract_x
_atom_site_fract_y
_atom_site_fract_z
_atom_site_occupancy
Pm1 Pm 0.131 0.000 0.418 1
Hf1 Hf 0.107 0.500 0.848 1
S1 S 0.027 0.000 0.703 1
S2 S 0.141 0.000 0.056 1
S3 S 0.205 0.500 0.648 1
```

## Properties
* polymorph energy (0 for the lowest one): 236 meV per atom


# 3
First-principles (PBE) data for a geometry-optimized B2H2Pt structure, as listed in the Alexandria database.

```
data_B2H2Pt
_chemical_formula_sum 'B4 H4 Pt2'
_space_group_name_H-M_alt 'P 4/m b m'
_space_group_IT_number 127
_space_group_name_Hall '-P 4 2ab'
_cell_length_a 5.214
_cell_length_b 5.214
_cell_length_c 2.592
_cell_angle_alpha 90.00
_cell_angle_beta 90.00
_cell_angle_gamma 90.00
loop_
_atom_site_label
_atom_site_type_symbol
_atom_site_fract_x
_atom_site_fract_y
_atom_site_fract_z
_atom_site_occupancy
B1 B 0.117 0.383 0.000 1
H1 H 0.115 0.615 0.500 1
Pt1 Pt 0.000 0.000 0.500 1
```

## Properties
* polymorph energy (0 for the lowest one): 0 meV per atom


# 4
First-principles (PBE) data for a geometry-optimized YTm2Hg structure, as listed in the Alexandria database.

```
data_YTm2Hg
_chemical_formula_sum 'Y1 Tm2 Hg1'
_space_group_name_H-M_alt 'P 4/m m m'
_space_group_IT_number 123
_space_group_name_Hall '-P 4 2'
_cell_length_a 3.567
_cell_length_b 3.567
_cell_length_c 8.881
_cell_angle_alpha 90.00
_cell_angle_beta 90.00
_cell_angle_gamma 90.00
loop_
_atom_site_label
_atom_site_type_symbol
_atom_site_fract_x
_atom_site_fract_y
_atom_site_fract_z
_atom_site_occupancy
Y1 Y 0.000 0.000 0.000 1
Tm1 Tm 0.500 0.500 0.280 1
Hg1 Hg 0.000 0.000 0.500 1
```

## Properties
* polymorph energy (0 for the lowest one): 19 meV per atom
* energy relative to the elements: -0.23 eV/atom


# 5
First-principles (PBE) data for a geometry-optimized TmTh2Cd4 structure, as listed in the Alexandria database.

```
data_TmTh2Cd4
_chemical_formula_sum 'Tm2 Th4 Cd8'
_space_group_name_H-M_alt 'I 4/m m m'
_space_group_IT_number 139
_space_group_name_Hall '-I 4 2'
_cell_length_a 5.132
_cell_length_b 5.132
_cell_length_c 15.236
_cell_angle_alpha 90.00
_cell_angle_beta 90.00
_cell_angle_gamma 90.00
loop_
_atom_site_label
_atom_site_type_symbol
_atom_site_fract_x
_atom_site_fract_y
_atom_site_fract_z
_atom_site_occupancy
Tm1 Tm 0.000 0.000 0.000 1
Th1 Th 0.000 0.000 0.254 1
Cd1 Cd 0.000 0.500 0.106 1
```

## Properties
* energy relative to the elements: -0.01 eV/atom


# 6
First-principles (PBE) data for a geometry-optimized Ce2NdHo structure, as listed in the Alexandria database.

```
data_Ce2NdHo
_chemical_formula_sum 'Ce2 Nd1 Ho1'
_space_group_name_H-M_alt 'P 4/m m m'
_space_group_IT_number 123
_space_group_name_Hall '-P 4 2'
_cell_length_a 4.927
_cell_length_b 4.927
_cell_length_c 5.115
_cell_angle_alpha 90.00
_cell_angle_beta 90.00
_cell_angle_gamma 90.00
loop_
_atom_site_label
_atom_site_type_symbol
_atom_site_fract_x
_atom_site_fract_y
_atom_site_fract_z
_atom_site_occupancy
Ce1 Ce 0.000 0.500 0.000 1
Nd1 Nd 0.000 0.000 0.500 1
Ho1 Ho 0.500 0.500 0.500 1
```

## Properties
* polymorph energy (0 for the lowest one): 3 meV per atom
* energy relative to the elements: 0.11 eV/atom


# 7
First-principles (PBE) data for a geometry-optimized LiSmIn4Rh2 structure, as listed in the Alexandria database.

```
data_LiSmIn4Rh2
_chemical_formula_sum 'Li3 Sm3 In12 Rh6'
_space_group_name_H-M_alt 'R -3 m'
_space_group_IT_number 166
_space_group_name_Hall '-R 3 2"'
_cell_length_a 4.7527
_cell_length_b 4.7527
_cell_length_c 24.1296
_cell_angle_alpha 90.00
_cell_angle_beta 90.00
_cell_angle_gamma 120.00
loop_
_atom_site_label
_atom_site_type_symbol
_atom_site_fract_x
_atom_site_fract_y
_atom_site_fract_z
_atom_site_occupancy
Li1 Li 0.0000 0.0000 0.0000 1
Sm1 Sm 0.0000 0.0000 0.5000 1
In1 In 0.0000 0.0000 0.1118 1
In2 In 0.0000 0.0000 0.3684 1
Rh1 Rh 0.0000 0.0000 0.2509 1
```

## Properties
* energy relative to the elements: -0.41 eV/atom


# 8
First-principles (PBE) data for a geometry-optimized Nd3ErGe4 structure, as listed in the Alexandria database.

```
data_Nd3ErGe4
_chemical_formula_sum 'Nd6 Er2 Ge8'
_space_group_name_H-M_alt 'I m m m'
_space_group_IT_number 71
_space_group_name_Hall '-I 2 2'
_cell_length_a 4.202
_cell_length_b 6.415
_cell_length_c 16.127
_cell_angle_alpha 90.00
_cell_angle_beta 90.00
_cell_angle_gamma 90.00
loop_
_atom_site_label
_atom_site_type_symbol
_atom_site_fract_x
_atom_site_fract_y
_atom_site_fract_z
_atom_site_occupancy
Nd1 Nd 0.000 0.000 0.000 1
Nd2 Nd 0.000 0.500 0.195 1
Er1 Er 0.000 0.000 0.500 1
Ge1 Ge 0.000 0.307 0.371 1
```

## Properties
* energy relative to the elements: -0.69 eV/atom


Final energy (eV/atom)
-5.634 -6.937 -4.351 -4.158 -3.288 -5.192 -4.441 -5.352